# Ce2TlP2N6

Crystalline Ce2TlP2N6 at its relaxed geometry (PBE-GGA, Alexandria via LeMat-Bulk).

Cell lengths 6.438, 6.483, 6.514 Å; angles 116.62, 90.04, 119.71 degrees
Fractional positions:
1 Ce 0.178 0.356 0.306
2 Ce 0.822 0.644 0.694
3 Tl 0.500 0.000 0.000
4 P 0.156 0.312 0.746
5 P 0.844 0.688 0.254
6 N 0.004 0.601 0.336
7 N 0.070 0.139 0.875
8 N 0.403 0.398 0.663
9 N 0.597 0.602 0.337
10 N 0.930 0.861 0.125
11 N 0.996 0.399 0.664

Results
* total magnetization: 0.098 μB/atom
* formation energy (no corrections): -0.65 eV/atom
* crystal system: triclinic
* raw total energy: -0.2743 hartree per atom
* DOS at the Fermi energy: 0.722 states/eV/atom